BeVGaO4: optimized geometry, PBE with a Hubbard U.

The structure belongs to space group Cmcm (No. 63); the cell edges are 5.570, 8.337 and 5.926 Å and the angles 90.00°, 90.00° and 90.00°. The inequivalent atoms are Be at (0.000, 0.153, 0.250), V at (0.000, 0.500, 0.000), Ga at (0.000, 0.154, 0.750), O at (0.000, 0.261, 0.023) and O at (0.234, 0.016, 0.250).

As for the total energy: -7.000 eV/atom. The value obtained for the total magnetization is 2.0 μB/f.u.